Here is an optimized crystal structure of Rb2NaGeI5 from the Alexandria database. Energies are from PBE-GGA.

Cell lengths 4.6935, 10.8799, 16.2267 Å; angles 90.00, 90.00, 102.46 degrees
Last column: nearest neighbours and their distance in Å.
Fractional coordinates of all 18 atoms:
Rb: 0.0846 0.1692 0.6544  6 I 3.62-3.80
Rb: 0.8676 0.7352 0.7944  8 I 3.68-3.99
I: 0.7094 0.4187 0.9053  2 Ge 3.10, 1 Na 3.15
I: 0.2906 0.5813 0.4053  2 Ge 3.10, 1 Na 3.15
I: 0.5010 0.0021 0.7841  1 Na 2.99
Ge: 0.2283 0.4567 0.0275  6 I 2.92-3.19
I: 0.6372 0.2744 0.4898  1 Ge 2.92
I: 0.7407 0.4813 0.1548  2 Ge 3.14
I: 0.0808 0.1616 0.0652  2 Na 3.04, 1 Ge 3.19
Ge: 0.7717 0.5433 0.5275  6 I 2.92-3.19
Rb: 0.1324 0.2648 0.2944  8 I 3.68-3.99
Na: 0.5648 0.1295 0.9484  4 I 2.99-3.15
I: 0.9192 0.8384 0.5652  2 Na 3.04, 1 Ge 3.19
Rb: 0.9154 0.8308 0.1544  6 I 3.62-3.80
I: 0.4990 0.9979 0.2841  1 Na 2.99
Na: 0.4352 0.8705 0.4484  4 I 2.99-3.15
I: 0.3628 0.7256 0.9898  1 Ge 2.92
I: 0.2593 0.5187 0.6548  2 Ge 3.14

DOS(E_F) in states/eV per atom: 0.00
Space group: Cmc2_1 (36)
E_form (uncorrected) in eV per atom: -1.023

Here is an optimized crystal structure of Mg3Mn from the Alexandria database. Energies are from PBE-GGA.

Cell lengths 4.2881, 4.2881, 4.2881 Å; angles 90.00, 90.00, 90.00 degrees
Last column: nearest neighbours and their distance in Å.
Fractional coordinates of all 4 atoms:
Mg: 0.5000 0.5000 0.0000  8 Mg 3.03, 4 Mn 3.03
Mg: 0.5000 0.0000 0.5000  8 Mg 3.03, 4 Mn 3.03
Mg: 0.0000 0.5000 0.5000  8 Mg 3.03, 4 Mn 3.03
Mn: 0.0000 0.0000 0.0000  12 Mg 3.03

DOS(E_F) in states/eV per atom: 0.69
Space group: Pm-3m (221)
Formation enthalpy at 0 K in eV per formula unit: 0.71

Here is an optimized crystal structure of Nb4CrS8 from the Alexandria database. Energies are from PBE-GGA.

Cell lengths 7.4324, 7.4324, 7.4324 Å; angles 53.77, 53.77, 53.77 degrees
Last column: nearest neighbours and their distance in Å.
Fractional coordinates of all 13 atoms:
S: 0.2520 0.7487 0.2520  1 Cr 2.48, 3 Nb 2.51-2.53
Cr: 0.5000 0.5000 0.5000  6 S 2.48
Nb: 0.5000 0.0000 0.5000  6 S 2.49-2.51
S: 0.2515 0.2515 0.2515  3 Nb 2.49
Nb: 0.5000 0.5000 0.0000  6 S 2.49-2.51
Nb: 0.0000 0.0000 0.0000  6 S 2.53
S: 0.7485 0.7485 0.7485  3 Nb 2.49
S: 0.7487 0.2520 0.2520  1 Cr 2.48, 3 Nb 2.51-2.53
S: 0.2520 0.2520 0.7487  1 Cr 2.48, 3 Nb 2.51-2.53
S: 0.7480 0.7480 0.2513  1 Cr 2.48, 3 Nb 2.51-2.53
S: 0.2513 0.7480 0.7480  1 Cr 2.48, 3 Nb 2.51-2.53
S: 0.7480 0.2513 0.7480  1 Cr 2.48, 3 Nb 2.51-2.53
Nb: 0.0000 0.5000 0.5000  6 S 2.49-2.51

DOS(E_F) in states/eV per atom: 0.58
Space group: R-3m (166)
ΔE to the lowest computed polymorph in kJ/mol of atoms: 19.3
E_form (uncorrected) in eV per atom: -0.901

Here is an optimized crystal structure of YCd from the Alexandria database. Energies are from PBE-GGA.

Cell lengths 3.7506, 3.7533, 3.7503 Å; angles 90.00, 90.00, 90.00 degrees
Last column: nearest neighbours and their distance in Å.
Fractional coordinates of all 2 atoms:
Cd: 0.5000 0.9956 0.5044  8 Y 3.25
Y: 0.0000 0.4955 0.0045  8 Cd 3.25

DOS(E_F) in states/eV per atom: 1.10
Space group: Pm-3m (221)
Formation enthalpy at 0 K in eV per formula unit: -0.71

Here is an optimized crystal structure of MgScAs2 from the Alexandria database. Energies are from PBE-GGA.

Cell lengths 3.0337, 3.0337, 9.6505 Å; angles 90.00, 90.00, 90.15 degrees
Last column: nearest neighbours and their distance in Å.
Fractional coordinates of all 4 atoms:
Sc: 0.5000 0.5000 0.7596  4 As 2.83-2.84, 4 Sc 3.03
Mg: 0.0000 0.0000 0.4902  4 As 2.83-2.84, 4 Mg 3.03
As: 0.0000 0.0000 0.9518  4 Sc 2.83-2.84, 4 As 3.03
As: 0.5000 0.5000 0.2983  4 Mg 2.83-2.84, 4 As 3.03

DOS(E_F) in states/eV per atom: 0.56
Space group: Cmm2 (35)
Formation enthalpy at 0 K in eV per formula unit: -0.85

Here is an optimized crystal structure of PuBiF from the Alexandria database. Energies are from PBE-GGA.

Cell lengths 4.0866, 4.0866, 16.5628 Å; angles 90.00, 90.00, 90.00 degrees
Last column: nearest neighbours and their distance in Å.
Fractional coordinates of all 12 atoms:
Bi: 0.2501 0.7500 0.3042  5 Pu 3.36-3.51, 4 Bi 3.40
Pu: 0.2499 0.7500 0.5920  4 F 2.55
Pu: 0.7501 0.2500 0.4080  4 F 2.55
Bi: 0.7499 0.2500 0.6958  5 Pu 3.36-3.51, 4 Bi 3.40
F: 0.7500 0.7500 0.5000  4 Pu 2.55
F: 0.2500 0.2500 0.0000  4 Pu 2.55
F: 0.7500 0.7500 0.0000  4 Pu 2.55
Pu: 0.2501 0.7500 0.0920  4 F 2.55
Bi: 0.2499 0.7500 0.8042  5 Pu 3.36-3.51, 4 Bi 3.40
F: 0.2500 0.2500 0.5000  4 Pu 2.55
Bi: 0.7501 0.2500 0.1958  5 Pu 3.36-3.51, 4 Bi 3.40
Pu: 0.7499 0.2500 0.9080  4 F 2.55

DOS(E_F) in states/eV per atom: 3.34
Space group: P4/nmm (129)
ΔE to the lowest computed polymorph in kJ/mol of atoms: 0.0
E_form (uncorrected) in eV per atom: -1.658

Here is an optimized crystal structure of CaAl2Zn2 from the Alexandria database. Energies are from PBE-GGA.

Cell lengths 7.9600, 7.9600, 2.9350 Å; angles 90.00, 90.00, 90.00 degrees
Last column: nearest neighbours and their distance in Å.
Fractional coordinates of all 10 atoms:
Al: 0.8733 0.6267 0.0000  6 Zn 2.75-2.78, 3 Al 2.85-2.94
Al: 0.6267 0.1267 0.0000  6 Zn 2.75-2.78, 3 Al 2.85-2.94
Zn: 0.6666 0.8334 0.5000  6 Al 2.75-2.78, 2 Zn 2.94
Zn: 0.1666 0.6666 0.5000  6 Al 2.75-2.78, 2 Zn 2.94
Zn: 0.8334 0.3334 0.5000  6 Al 2.75-2.78, 2 Zn 2.94
Ca: 0.5000 0.5000 0.0000  2 Ca 2.94, 4 Al 3.14
Zn: 0.3334 0.1666 0.5000  6 Al 2.75-2.78, 2 Zn 2.94
Al: 0.3733 0.8733 0.0000  6 Zn 2.75-2.78, 3 Al 2.85-2.94
Ca: 0.0000 0.0000 0.0000  2 Ca 2.94, 4 Al 3.14
Al: 0.1267 0.3733 0.0000  6 Zn 2.75-2.78, 3 Al 2.85-2.94

DOS(E_F) in states/eV per atom: 0.49
Space group: P4/mbm (127)
Formation enthalpy at 0 K in eV per formula unit: -0.27

Here is an optimized crystal structure of ScMo2OsI from the Alexandria database. Energies are from PBE-GGA.

Cell lengths 4.7635, 4.7635, 4.7703 Å; angles 90.00, 90.00, 90.00 degrees
Last column: nearest neighbours and their distance in Å.
Fractional coordinates of all 5 atoms:
Sc: 0.0000 0.0000 0.0000  4 Mo 2.38, 2 Os 2.39
Mo: 0.0000 0.5000 0.0000  2 Sc 2.38
Mo: 0.5000 0.0000 0.0000  2 Sc 2.38
Os: 0.0000 0.0000 0.5000  2 Sc 2.39
I: 0.5000 0.5000 0.5000  4 Os 3.37, 8 Mo 3.37

DOS(E_F) in states/eV per atom: 1.26
Space group: P4/mmm (123)
E_form (uncorrected) in eV per atom: 2.214

> Number 7 is which compound?

CaAl2Zn2

> Among the records above, which one has the lowest DOS(E_F)?

Rb2NaGeI5

> Number 1 is which compound?

Rb2NaGeI5

> What is the formula in the second record?

Mg3Mn